# SrTl2Ni (PBE, relaxed)
# electronic total energy = -2.896 eV/atom
# M_tot = 0.003 μB/atom
data_SrTl2Ni
_chemical_formula_sum 'Sr4 Tl8 Ni4'
_cell_length_a 7.434
_cell_length_b 7.434
_cell_length_c 7.434
_cell_angle_alpha 90.00
_cell_angle_beta 90.00
_cell_angle_gamma 90.00
_symmetry_space_group_name_H-M 'F -4 3 m'
_symmetry_Int_Tables_number 216
_symmetry_space_group_name_Hall 'F -4 2 3'
loop_
_atom_site_label
_atom_site_fract_x
_atom_site_fract_y
_atom_site_fract_z
_atom_site_occupancy
Sr1 0.000 0.000 0.000 1
Tl1 0.000 0.000 0.500 1
Tl2 0.250 0.250 0.750 1
Ni1 0.250 0.250 0.250 1

---

# SrUNi (PBE, relaxed)
# electronic total energy = -4.846 eV/atom
# M_tot = 0.046 μB/atom
data_SrUNi
_chemical_formula_sum 'Sr4 U4 Ni4'
_cell_length_a 6.480
_cell_length_b 6.480
_cell_length_c 6.480
_cell_angle_alpha 90.00
_cell_angle_beta 90.00
_cell_angle_gamma 90.00
_symmetry_space_group_name_H-M 'F -4 3 m'
_symmetry_Int_Tables_number 216
_symmetry_space_group_name_Hall 'F -4 2 3'
loop_
_atom_site_label
_atom_site_fract_x
_atom_site_fract_y
_atom_site_fract_z
_atom_site_occupancy
Sr1 0.000 0.000 0.000 1
U1 0.250 0.250 0.250 1
Ni1 0.000 0.000 0.500 1

---

# Sr2Ni2W3 (PBE, relaxed)
# electronic total energy = -7.104 eV/atom
# M_tot = 0.003 μB/atom
data_Sr2Ni2W3
_chemical_formula_sum 'Sr6 Ni6 W9'
_cell_length_a 4.4444
_cell_length_b 4.4444
_cell_length_c 26.1510
_cell_angle_alpha 90.00
_cell_angle_beta 90.00
_cell_angle_gamma 120.00
_symmetry_space_group_name_H-M 'R 3 m'
_symmetry_Int_Tables_number 160
_symmetry_space_group_name_Hall 'R 3 -2"'
loop_
_atom_site_label
_atom_site_fract_x
_atom_site_fract_y
_atom_site_fract_z
_atom_site_occupancy
Sr1 0.0000 0.0000 0.0000 1
Sr2 0.0000 0.0000 0.4305 1
Ni1 0.0000 0.0000 0.1649 1
Ni2 0.0000 0.0000 0.6501 1
W1 0.0000 0.0000 0.2558 1
W2 0.0000 0.0000 0.5575 1
W3 0.0000 0.0000 0.8605 1

---

# SrNiW (PBE, relaxed)
# M_tot = 0.632 μB/atom
# energy above the most stable polymorph in this dataset = 0.0000 eV per atom
data_SrNiW
_chemical_formula_sum 'Sr4 Ni4 W4'
_cell_length_a 6.419
_cell_length_b 6.419
_cell_length_c 6.419
_cell_angle_alpha 90.00
_cell_angle_beta 90.00
_cell_angle_gamma 90.00
_symmetry_space_group_name_H-M 'F -4 3 m'
_symmetry_Int_Tables_number 216
_symmetry_space_group_name_Hall 'F -4 2 3'
loop_
_atom_site_label
_atom_site_fract_x
_atom_site_fract_y
_atom_site_fract_z
_atom_site_occupancy
Sr1 0.000 0.000 0.000 1
Ni1 0.250 0.250 0.250 1
W1 0.000 0.000 0.500 1